No. 1
A plane-wave DFT calculation with GGA-PBE was carried out for a relaxed Sr2TmBiO6 crystal.

Properties
- volume (Å³/atom) = 15.082
- total moment (μB/f.u.) = 0.000
- E_form (uncorrected) (meV/atom) = -2466
- DOS(E_F) (states/eV/cell) = 0.0

a b c (Å): 5.923 6.036 10.302
angles (deg): 90.00 125.01 90.00
Fractional coordinates of all 20 atoms:
Sr 0.239 0.042 0.250
Sr 0.239 0.458 0.750
Sr 0.761 0.542 0.250
Sr 0.761 0.958 0.750
Tm 0.500 0.000 0.000
Tm 0.500 0.500 0.500
Bi 0.000 0.000 0.500
Bi 0.000 0.500 0.000
O 0.153 0.212 0.951
O 0.153 0.288 0.451
O 0.242 0.704 0.953
O 0.242 0.796 0.453
O 0.335 0.031 0.745
O 0.335 0.469 0.245
O 0.665 0.531 0.755
O 0.665 0.969 0.255
O 0.758 0.204 0.547
O 0.758 0.296 0.047
O 0.847 0.712 0.549
O 0.847 0.788 0.049

No. 2
A plane-wave DFT calculation with GGA-PBE was carried out for a relaxed Li12TmPd6 crystal.

Properties
- volume (Å³/atom) = 16.832
- total moment (μB/f.u.) = 0.000
- E_form (eV/atom) = -0.332
- DOS(E_F) (states/eV/cell) = 4.6

a b c (Å): 6.840 6.840 6.840
angles (deg): 88.76 88.76 88.76
Fractional coordinates of all 19 atoms:
Li 0.016 0.916 0.315
Li 0.084 0.685 0.984
Li 0.097 0.476 0.341
Li 0.315 0.016 0.916
Li 0.341 0.097 0.476
Li 0.476 0.341 0.097
Li 0.524 0.659 0.903
Li 0.659 0.903 0.524
Li 0.685 0.984 0.084
Li 0.903 0.524 0.659
Li 0.916 0.315 0.016
Li 0.984 0.084 0.685
Tm 0.500 0.500 0.500
Pd 0.220 0.764 0.628
Pd 0.236 0.372 0.780
Pd 0.372 0.780 0.236
Pd 0.628 0.220 0.764
Pd 0.764 0.628 0.220
Pd 0.780 0.236 0.372